[1]
Below is a relaxed La6Pt2SI3 crystal, with properties calculated at the PBE-GGA level.

The structure in CIF format:
```
data_La6Pt2SI3
_symmetry_space_group_name_H-M 'C 1 2/m 1'
_symmetry_Int_Tables_number 12
_cell_length_a 7.557
_cell_length_b 13.058
_cell_length_c 8.299
_cell_angle_alpha 90.00
_cell_angle_beta 107.59
_cell_angle_gamma 90.00
loop_
_symmetry_equiv_pos_as_xyz
'x,y,z'
'-x,-y,-z'
'-x,y,-z'
'x,-y,z'
'x+1/2,y+1/2,z'
'-x+1/2,-y+1/2,-z'
'-x+1/2,y+1/2,-z'
'x+1/2,-y+1/2,z'
loop_
_atom_site_label
_atom_site_type_symbol
_atom_site_fract_x
_atom_site_fract_y
_atom_site_fract_z
_atom_site_occupancy
La1 La 0.222 0.000 0.194 1
La2 La 0.237 0.329 0.194 1
Pt1 Pt 0.000 0.167 0.000 1
S1 S 0.000 0.500 0.000 1
I1 I 0.000 0.000 0.500 1
I2 I 0.000 0.337 0.500 1
```

Properties
The calculation puts the raw formation energy at -15.8 eV/f.u.


[2]
Below is a relaxed Cd2HgPb crystal, with properties calculated at the PBE-GGA level.

The structure in CIF format:
```
data_Cd2HgPb
_symmetry_space_group_name_H-M 'P 1 2/m 1'
_symmetry_Int_Tables_number 10
_cell_length_a 3.592
_cell_length_b 5.033
_cell_length_c 5.897
_cell_angle_alpha 90.00
_cell_angle_beta 93.66
_cell_angle_gamma 90.00
loop_
_symmetry_equiv_pos_as_xyz
'x,y,z'
'-x,-y,-z'
'-x,y,-z'
'x,-y,z'
loop_
_atom_site_label
_atom_site_type_symbol
_atom_site_fract_x
_atom_site_fract_y
_atom_site_fract_z
_atom_site_occupancy
Cd1 Cd 0.096 0.000 0.250 1
Hg1 Hg 0.000 0.500 0.500 1
Pb1 Pb 0.500 0.500 0.000 1
```

Properties
For the formation energy, the calculation gives 0.180 eV/f.u.


[3]
Below is a relaxed BaLa2BeSb crystal, with properties calculated at the PBE-GGA level.

The structure in CIF format:
```
data_BaLa2BeSb
_symmetry_space_group_name_H-M 'P 4/m m m'
_symmetry_Int_Tables_number 123
_symmetry_space_group_name_Hall '-P 4 2'
_cell_length_a 5.557
_cell_length_b 5.557
_cell_length_c 5.016
_cell_angle_alpha 90.00
_cell_angle_beta 90.00
_cell_angle_gamma 90.00
loop_
_atom_site_label
_atom_site_type_symbol
_atom_site_fract_x
_atom_site_fract_y
_atom_site_fract_z
_atom_site_occupancy
Ba1 Ba 0.000 0.000 0.000 1
La1 La 0.000 0.500 0.500 1
Be1 Be 0.500 0.500 0.500 1
Sb1 Sb 0.500 0.500 0.000 1
```

Properties
The calculation puts the raw formation energy at 0.0 eV/f.u.


[4]
Below is a relaxed CePm2Ga4Pd3 crystal, with properties calculated at the PBE-GGA level.

The structure in CIF format:
```
data_CePm2Ga4Pd3
_symmetry_space_group_name_H-M 'P -4 m 2'
_symmetry_Int_Tables_number 115
_cell_length_a 4.275
_cell_length_b 4.275
_cell_length_c 11.722
_cell_angle_alpha 90.00
_cell_angle_beta 90.00
_cell_angle_gamma 90.00
loop_
_symmetry_equiv_pos_as_xyz
'x,y,z'
'y,-x,-z'
'-x,-y,z'
'-y,x,-z'
'-x,y,z'
'-y,-x,-z'
'x,-y,z'
'y,x,-z'
loop_
_atom_site_label
_atom_site_type_symbol
_atom_site_fract_x
_atom_site_fract_y
_atom_site_fract_z
_atom_site_occupancy
Ce1 Ce 0.000 0.000 0.000 1
Pm1 Pm 0.000 0.500 0.723 1
Ga1 Ga 0.000 0.000 0.500 1
Ga2 Ga 0.000 0.500 0.173 1
Ga3 Ga 0.500 0.500 0.500 1
Pd1 Pd 0.000 0.500 0.382 1
Pd2 Pd 0.500 0.500 0.000 1
```

Properties
For the formation energy, the calculation gives -6.575 eV/f.u.


[5]
Below is a relaxed Tb3In2Pd6 crystal, with properties calculated at the PBE-GGA level.

The structure in CIF format:
```
data_Tb3In2Pd6
_symmetry_space_group_name_H-M 'I m -3 m'
_symmetry_Int_Tables_number 229
_symmetry_space_group_name_Hall '-I 4 2 3'
_cell_length_a 9.694
_cell_length_b 9.694
_cell_length_c 9.694
_cell_angle_alpha 90.00
_cell_angle_beta 90.00
_cell_angle_gamma 90.00
loop_
_atom_site_label
_atom_site_type_symbol
_atom_site_fract_x
_atom_site_fract_y
_atom_site_fract_z
_atom_site_occupancy
Tb1 Tb 0.000 0.000 0.293 1
In1 In 0.250 0.250 0.250 1
Pd1 Pd 0.000 0.345 0.345 1
```

Properties
For the formation energy, the calculation gives -8.376 eV/f.u.


[6]
Below is a relaxed Rb3LaAl2O6 crystal, with properties calculated at the PBE-GGA level.

The structure in CIF format:
```
data_Rb3LaAl2O6
_symmetry_space_group_name_H-M 'P -3 m 1'
_symmetry_Int_Tables_number 164
_symmetry_space_group_name_Hall '-P 3 2"'
_cell_length_a 6.2463
_cell_length_b 6.2463
_cell_length_c 7.5099
_cell_angle_alpha 90.00
_cell_angle_beta 90.00
_cell_angle_gamma 120.00
loop_
_atom_site_label
_atom_site_type_symbol
_atom_site_fract_x
_atom_site_fract_y
_atom_site_fract_z
_atom_site_occupancy
Rb1 Rb 0.0000 0.0000 0.0000 1
Rb2 Rb 0.3333 0.6667 0.7498 1
La1 La 0.0000 0.0000 0.5000 1
Al1 Al 0.3333 0.6667 0.2942 1
O1 O 0.1750 0.3501 0.2958 1
```

Properties
The calculation puts the raw formation energy at -28.3 eV/f.u.


[7]
Below is a relaxed YHo2ScIn2 crystal, with properties calculated at the PBE-GGA level.

The structure in CIF format:
```
data_YHo2ScIn2
_symmetry_space_group_name_H-M 'P m c 21'
_symmetry_Int_Tables_number 26
_cell_length_a 5.270
_cell_length_b 9.152
_cell_length_c 6.679
_cell_angle_alpha 90.00
_cell_angle_beta 90.00
_cell_angle_gamma 90.00
loop_
_symmetry_equiv_pos_as_xyz
'x,y,z'
'-x,-y,z+1/2'
'-x,y,z'
'x,-y,z+1/2'
loop_
_atom_site_label
_atom_site_type_symbol
_atom_site_fract_x
_atom_site_fract_y
_atom_site_fract_z
_atom_site_occupancy
Y1 Y 0.000 0.003 0.000 1
Ho1 Ho 0.000 0.337 0.256 1
Ho2 Ho 0.500 0.496 0.001 1
Sc1 Sc 0.500 0.171 0.746 1
In1 In 0.000 0.325 0.752 1
In2 In 0.500 0.157 0.250 1
```

Properties
For the formation energy, the calculation gives -2.177 eV/f.u.


[8]
Below is a relaxed BaFeRe2 crystal, with properties calculated at the PBE-GGA level.

The structure in CIF format:
```
data_BaFeRe2
_symmetry_space_group_name_H-M 'P 4/m m m'
_symmetry_Int_Tables_number 123
_symmetry_space_group_name_Hall '-P 4 2'
_cell_length_a 4.691
_cell_length_b 4.691
_cell_length_c 3.317
_cell_angle_alpha 90.00
_cell_angle_beta 90.00
_cell_angle_gamma 90.00
loop_
_atom_site_label
_atom_site_type_symbol
_atom_site_fract_x
_atom_site_fract_y
_atom_site_fract_z
_atom_site_occupancy
Ba1 Ba 0.000 0.000 0.000 1
Fe1 Fe 0.500 0.500 0.000 1
Re1 Re 0.000 0.500 0.500 1
```

Properties
For the formation energy, the calculation gives 7.281 eV/f.u.


[9]
Below is a relaxed PrZnGa2Au5 crystal, with properties calculated at the PBE-GGA level.

The structure in CIF format:
```
data_PrZnGa2Au5
_symmetry_space_group_name_H-M 'P 4/m m m'
_symmetry_Int_Tables_number 123
_symmetry_space_group_name_Hall '-P 4 2'
_cell_length_a 5.002
_cell_length_b 5.002
_cell_length_c 7.528
_cell_angle_alpha 90.00
_cell_angle_beta 90.00
_cell_angle_gamma 90.00
loop_
_atom_site_label
_atom_site_type_symbol
_atom_site_fract_x
_atom_site_fract_y
_atom_site_fract_z
_atom_site_occupancy
Pr1 Pr 0.000 0.000 0.000 1
Zn1 Zn 0.000 0.000 0.500 1
Ga1 Ga 0.500 0.500 0.340 1
Au1 Au 0.000 0.500 0.262 1
Au2 Au 0.500 0.500 0.000 1
```

Properties
For the formation energy, the calculation gives -2.372 eV/f.u.


[10]
Below is a relaxed Er5Te5Rh crystal, with properties calculated at the PBE-GGA level.

The structure in CIF format:
```
data_Er5Te5Rh
_symmetry_space_group_name_H-M 'C 1 2/m 1'
_symmetry_Int_Tables_number 12
_cell_length_a 13.671
_cell_length_b 6.092
_cell_length_c 8.490
_cell_angle_alpha 90.00
_cell_angle_beta 109.02
_cell_angle_gamma 90.00
loop_
_symmetry_equiv_pos_as_xyz
'x,y,z'
'-x,-y,-z'
'-x,y,-z'
'x,-y,z'
'x+1/2,y+1/2,z'
'-x+1/2,-y+1/2,-z'
'-x+1/2,y+1/2,-z'
'x+1/2,-y+1/2,z'
loop_
_atom_site_label
_atom_site_type_symbol
_atom_site_fract_x
_atom_site_fract_y
_atom_site_fract_z
_atom_site_occupancy
Er1 Er 0.000 0.000 0.000 1
Er2 Er 0.147 0.500 0.850 1
Er3 Er 0.149 0.500 0.308 1
Te1 Te 0.000 0.500 0.500 1
Te2 Te 0.167 0.000 0.825 1
Te3 Te 0.183 0.000 0.333 1
Rh1 Rh 0.000 0.500 0.000 1
```

Properties
The calculation puts the raw formation energy at -13.2 eV/f.u.


[11]
Below is a relaxed Rb2CdFeI6 crystal, with properties calculated at the PBE-GGA level.

The structure in CIF format:
```
data_Rb2CdFeI6
_symmetry_space_group_name_H-M 'I 4/m m m'
_symmetry_Int_Tables_number 139
_symmetry_space_group_name_Hall '-I 4 2'
_cell_length_a 8.298
_cell_length_b 8.298
_cell_length_c 11.716
_cell_angle_alpha 90.00
_cell_angle_beta 90.00
_cell_angle_gamma 90.00
loop_
_atom_site_label
_atom_site_type_symbol
_atom_site_fract_x
_atom_site_fract_y
_atom_site_fract_z
_atom_site_occupancy
Rb1 Rb 0.000 0.500 0.250 1
Cd1 Cd 0.000 0.000 0.000 1
Fe1 Fe 0.000 0.000 0.500 1
I1 I 0.000 0.000 0.257 1
I2 I 0.241 0.241 0.500 1
```

Properties
The calculation puts the raw formation energy at -7.1 eV/f.u.


[12]
Below is a relaxed VCd2SbW crystal, with properties calculated at the PBE-GGA level.

The structure in CIF format:
```
data_VCd2SbW
_symmetry_space_group_name_H-M 'P 4/m m m'
_symmetry_Int_Tables_number 123
_symmetry_space_group_name_Hall '-P 4 2'
_cell_length_a 5.225
_cell_length_b 5.225
_cell_length_c 4.424
_cell_angle_alpha 90.00
_cell_angle_beta 90.00
_cell_angle_gamma 90.00
loop_
_atom_site_label
_atom_site_type_symbol
_atom_site_fract_x
_atom_site_fract_y
_atom_site_fract_z
_atom_site_occupancy
V1 V 0.000 0.000 0.000 1
Cd1 Cd 0.000 0.500 0.000 1
Sb1 Sb 0.500 0.500 0.500 1
W1 W 0.000 0.000 0.500 1
```

Properties
The calculation puts the raw formation energy at 6.1 eV/f.u.